A plane-wave DFT calculation with PBEsol was carried out for a geometry-optimized Li3AgCl structure.

Summary:
uncorrected formation energy	-12.489	kcal/mol of atoms
size of the total moment	0.00	μB per atom

abc: 4.547 4.547 4.547
angles: 90.00 90.00 90.00
Space group Pm-3m (No. 221)
Inequivalent atoms, fractional coordinates:
Li: 0.000 0.000 0.500
Ag: 0.500 0.500 0.500
Cl: 0.000 0.000 0.000

---

A plane-wave DFT calculation with PBEsol was carried out for a geometry-optimized CrCdB3 structure.

Summary:
energy relative to the elements	2.5042	eV per atom
size of the total moment	0.78	μB per atom

abc: 4.241 4.241 4.241
angles: 90.00 90.00 90.00
Space group Pm-3m (No. 221)
Inequivalent atoms, fractional coordinates:
Cr: 0.000 0.000 0.000
Cd: 0.500 0.500 0.500
B: 0.000 0.500 0.500

---

A plane-wave DFT calculation with PBEsol was carried out for a geometry-optimized Al5Ag7 structure.

Summary:
energy relative to the elements	-0.0799	eV per atom
E above lowest polymorph	1	meV per atom
size of the total moment	0.00	μB per atom

abc: 7.859 2.965 8.310
angles: 90.00 91.43 90.00
Space group Pm (No. 6)
Inequivalent atoms, fractional coordinates:
Al: 0.000 0.000 0.000
Al: 0.004 0.000 0.336
Al: 0.256 0.500 0.170
Al: 0.510 0.000 0.000
Al: 0.738 0.500 0.510
Ag: 0.242 0.500 0.495
Ag: 0.247 0.500 0.850
Ag: 0.496 0.000 0.672
Ag: 0.501 0.000 0.329
Ag: 0.752 0.500 0.843
Ag: 0.763 0.500 0.179
Ag: 0.991 0.000 0.662

---

A plane-wave DFT calculation with PBEsol was carried out for a geometry-optimized LiAc2Sn structure.

Summary:
energy relative to the elements	-0.3689	eV per atom
size of the total moment	0.00	μB per atom

abc: 7.988 7.988 7.988
angles: 90.00 90.00 90.00
Space group Fm-3m (No. 225)
Inequivalent atoms, fractional coordinates:
Li: 0.000 0.000 0.000
Ac: 0.250 0.250 0.250
Sn: 0.000 0.000 0.500

---

A plane-wave DFT calculation with PBEsol was carried out for a geometry-optimized BaYMo2 structure.

Summary:
energy relative to the elements	0.7433	eV per atom
E above lowest polymorph	301	meV per atom
size of the total moment	0.00	μB per atom

abc: 3.495 4.480 6.923
angles: 90.00 90.00 90.00
Space group Pmmm (No. 47)
Inequivalent atoms, fractional coordinates:
Ba: 0.000 0.000 0.000
Y: 0.000 0.000 0.500
Mo: 0.500 0.500 0.345

---

A plane-wave DFT calculation with PBEsol was carried out for a geometry-optimized MgTi7H16 structure.

Summary:
E_tot	-5.20	eV per atom
size of the total moment	0.00	μB per atom

abc: 8.798 8.798 8.798
angles: 90.00 90.00 90.00
Space group Fm-3m (No. 225)
Inequivalent atoms, fractional coordinates:
Mg: 0.000 0.000 0.000
Ti: 0.000 0.000 0.500
Ti: 0.000 0.250 0.250
H: 0.125 0.125 0.375
H: 0.129 0.129 0.129

---

A plane-wave DFT calculation with PBEsol was carried out for a geometry-optimized Co3SiH structure.

Summary:
E_tot	-6.82	eV per atom
size of the total moment	0.18	μB per atom

abc: 4.850 4.850 7.267
angles: 90.00 90.00 90.00
Space group I4/mcm (No. 140)
Inequivalent atoms, fractional coordinates:
Co: 0.000 0.000 0.250
Co: 0.200 0.300 0.000
Si: 0.000 0.500 0.250
H: 0.000 0.000 0.000

---

A plane-wave DFT calculation with PBEsol was carried out for a geometry-optimized ScSnPbBr2 structure.

Summary:
uncorrected formation energy	3.121	kcal/mol of atoms
size of the total moment	0.00	μB per atom

abc: 5.414 5.414 5.826
angles: 90.00 90.00 90.00
Space group P4/mmm (No. 123)
Inequivalent atoms, fractional coordinates:
Sc: 0.000 0.000 0.000
Sn: 0.000 0.000 0.500
Pb: 0.500 0.500 0.000
Br: 0.000 0.500 0.500

---

A plane-wave DFT calculation with PBEsol was carried out for a geometry-optimized KPtW2 structure.

Summary:
energy relative to the elements	1.4442	eV per atom
E above lowest polymorph	528	meV per atom
size of the total moment	0.00	μB per atom

abc: 3.870 3.870 9.374
angles: 90.00 90.00 90.00
Space group I4/mmm (No. 139)
Inequivalent atoms, fractional coordinates:
K: 0.000 0.000 0.000
Pt: 0.000 0.000 0.500
W: 0.000 0.500 0.250

---

A plane-wave DFT calculation with PBEsol was carried out for a geometry-optimized MnTe2W structure.

Summary:
uncorrected formation energy	6.565	kcal/mol of atoms
E above lowest polymorph	44	meV per atom
size of the total moment	0.23	μB per atom

abc: 7.892 3.460 6.799
angles: 90.00 102.05 90.00
Space group Cm (No. 8)
Inequivalent atoms, fractional coordinates:
Mn: 0.000 0.000 0.000
Te: 0.253 0.000 0.786
Te: 0.466 0.000 0.326
W: 0.217 0.500 0.095

---

A plane-wave DFT calculation with PBEsol was carried out for a geometry-optimized CsMnSi2 structure.

Summary:
uncorrected formation energy	6.740	kcal/mol of atoms
E above lowest polymorph	0	meV per atom
size of the total moment	0.20	μB per atom

abc: 6.373 6.373 11.632
angles: 90.00 90.00 90.00
Space group I4_1/amd (No. 141, origin choice 2)
Inequivalent atoms, fractional coordinates:
Cs: 0.000 0.250 0.375
Mn: 0.000 0.250 0.875
Si: 0.000 0.000 0.000

---

A plane-wave DFT calculation with PBEsol was carried out for a geometry-optimized Tl3PdS structure.

Summary:
uncorrected formation energy	13.933	kcal/mol of atoms
E above lowest polymorph	588	meV per atom
size of the total moment	0.00	μB per atom

abc: 5.233 5.233 5.233
angles: 90.00 90.00 90.00
Space group Pm-3m (No. 221)
Inequivalent atoms, fractional coordinates:
Tl: 0.000 0.000 0.500
Pd: 0.500 0.500 0.500
S: 0.000 0.000 0.000